Entry 1:
DFT (PBE) results for KPm6Se8 after structural relaxation.

a b c (Å): 11.3376 11.3376 4.2845
angles (deg): 90.00 90.00 120.00
Space group P-3 (No. 147)
Asymmetric unit:
1 K 0.0000 0.0000 0.0000 (multiplicity 1)
2 Pm 0.1379 0.6578 0.2508 (multiplicity 6)
3 Se 0.0456 0.3577 0.2485 (multiplicity 6)
4 Se 0.3333 0.6667 0.7508 (multiplicity 2)

Properties
Final energy   -5.5583 eV/atom
DOS at the Fermi energy   0.7336 states/eV per atom

---

Entry 2:
DFT (PBE) results for Na3ErTm2O6 after structural relaxation.

a b c (Å): 5.842 10.119 5.893
angles (deg): 90.00 109.30 90.00
Space group C2/m (No. 12)
Asymmetric unit:
1 Na 0.000 0.000 0.000 (multiplicity 2)
2 Na 0.000 0.333 0.000 (multiplicity 4)
3 Er 0.000 0.500 0.500 (multiplicity 2)
4 Tm 0.000 0.167 0.500 (multiplicity 4)
5 O 0.235 0.000 0.709 (multiplicity 4)
6 O 0.237 0.333 0.709 (multiplicity 8)

Properties
Final energy   -6.7943 eV/atom
DOS at the Fermi energy   0.0000 states/eV per atom

---

Entry 3:
DFT (PBE) results for Pm12Pr3Tl after structural relaxation.

a b c (Å): 5.103 5.103 20.775
angles (deg): 90.00 90.00 90.00
Space group P4/mmm (No. 123)
Asymmetric unit:
1 Pm 0.000 0.000 0.000 (multiplicity 1)
2 Pm 0.000 0.000 0.244 (multiplicity 2)
3 Pm 0.000 0.000 0.500 (multiplicity 1)
4 Pm 0.000 0.500 0.120 (multiplicity 4)
5 Pm 0.000 0.500 0.373 (multiplicity 4)
6 Pr 0.500 0.500 0.247 (multiplicity 2)
7 Pr 0.500 0.500 0.500 (multiplicity 1)
8 Tl 0.500 0.500 0.000 (multiplicity 1)

Properties
Final energy   -4.6349 eV/atom
Energy of formation   -0.028 eV per atom
DOS at the Fermi energy   1.4098 states/eV per atom

---

Entry 4:
DFT (PBE) results for Re2Ni5Rh12 after structural relaxation.

a b c (Å): 13.916 5.335 7.898
angles (deg): 90.00 103.43 90.00
Space group C2/m (No. 12)
Asymmetric unit:
1 Re 0.000 0.229 0.000 (multiplicity 4)
2 Ni 0.000 0.500 0.500 (multiplicity 2)
3 Ni 0.130 0.000 0.878 (multiplicity 4)
4 Ni 0.210 0.000 0.399 (multiplicity 4)
5 Rh 0.026 0.000 0.333 (multiplicity 4)
6 Rh 0.078 0.500 0.262 (multiplicity 4)
7 Rh 0.142 0.245 0.609 (multiplicity 8)
8 Rh 0.206 0.255 0.129 (multiplicity 8)

Properties
Final energy   -7.0863 eV/atom
Energy of formation   0.388 eV per atom
DOS at the Fermi energy   1.4818 states/eV per atom

---

Entry 5:
DFT (PBE) results for Y2Tc2As after structural relaxation.

a b c (Å): 3.584 3.584 16.849
angles (deg): 90.00 90.00 90.00
Space group I4/mmm (No. 139)
Asymmetric unit:
1 Y 0.000 0.000 0.100 (multiplicity 4)
2 Tc 0.000 0.500 0.250 (multiplicity 4)
3 As 0.000 0.000 0.500 (multiplicity 2)

Properties
Final energy   -7.9925 eV/atom
Energy of formation   -0.331 eV per atom
DOS at the Fermi energy   0.5211 states/eV per atom

---

Entry 6:
DFT (PBE) results for HfScAg after structural relaxation.

a b c (Å): 3.208 6.428 6.541
angles (deg): 104.40 104.18 90.06
Space group P-1 (No. 2)
Asymmetric unit:
1 Hf 0.166 0.337 0.332 (multiplicity 2)
2 Sc 0.161 0.827 0.321 (multiplicity 2)
3 Ag 0.500 0.000 0.000 (multiplicity 1)
4 Ag 0.500 0.500 0.000 (multiplicity 1)

Properties
Final energy   -6.4841 eV/atom
Energy of formation   -0.105 eV per atom
DOS at the Fermi energy   1.0469 states/eV per atom